## Mn2HO (PBE+U)

Data for a relaxed structure of Mn2HO.

Properties
As for the mass density: 4.778 g cm⁻³. The offset from the most stable computed form comes out at 0.481 eV/atom. Its total DFT energy (no corrections) is -5.815 eV per atom.

a b c (Å): 5.6081 5.6081 5.6081
angles (deg): 90.00 90.00 90.00
With the nearest neighbours (Å) after each atom.
Space group Fm-3m (No. 225)
Asymmetric unit:
1 Mn 0.2500 0.2500 0.2500 x8  4 O 2.43, 4 H 2.43
2 H 0.0000 0.0000 0.0000 x4  8 Mn 2.43
3 O 0.0000 0.0000 0.5000 x4  8 Mn 2.43